Record 1
First-principles (PBE-GGA) data for a geometry-optimized U3SeS2 structure, as listed in Alexandria.

a b c (Å): 4.5068 6.5795 9.2387
angles (deg): 90.00 90.00 110.03
Site moments in Bohr magnetons follow the coordinates.
Fractional positions:
U1 0.6373 0.2745 0.4637  2.58
U2 0.3627 0.7255 0.9637  2.58
S1 0.0000 0.0000 0.0000  -0.06
U3 0.3627 0.7255 0.5363  2.58
Se1 0.7816 0.5632 0.7500  -0.06
S2 0.4860 0.9720 0.2500  -0.07
U4 0.8751 0.7501 0.2500  2.44
U5 0.6373 0.2745 0.0363  2.58
Se2 0.2184 0.4368 0.2500  -0.06
S3 0.0000 0.0000 0.5000  -0.06
U6 0.1249 0.2499 0.7500  2.44
S4 0.5140 0.0280 0.7500  -0.07

Calculated values
Its magnetic moment is 8.60 μB per formula unit. Its space group is No. 63. Its polymorph energy (0 for the lowest one) is 376.3 meV/atom.

---

Record 2
First-principles (PBE-GGA) data for a geometry-optimized HgIr3 structure, as listed in Alexandria.

a b c (Å): 2.8091 4.8006 4.8275
angles (deg): 90.00 90.38 90.00
Fractional positions:
Ir1 0.7450 0.5000 0.7325
Ir2 0.5000 0.0000 0.5000
Hg1 0.0000 0.0000 0.0000
Ir3 0.2550 0.5000 0.2675

Calculated values
Its magnetic moment is 0.00 μB per formula unit. Its space group is No. 10. The value obtained for the formation energy is 581.0 meV per atom.

---

Record 3
First-principles (PBE-GGA) data for a geometry-optimized Rb2TeSe2 structure, as listed in Alexandria.

a b c (Å): 7.9743 7.9743 5.2500
angles (deg): 90.00 90.00 90.00
Fractional positions:
Se1 0.1652 0.3348 0.0000
Se2 0.3348 0.8348 0.0000
Se3 0.8348 0.6652 0.0000
Te1 0.5000 0.5000 0.0000
Se4 0.6652 0.1652 0.0000
Te2 0.0000 0.0000 0.0000
Rb1 0.8472 0.3472 0.5000
Rb2 0.1528 0.6528 0.5000
Rb3 0.3472 0.1528 0.5000
Rb4 0.6528 0.8472 0.5000

Calculated values
Its magnetic moment is 0.00 μB per formula unit. As for the final energy: -3.094 eV per atom. Its space group is No. 127.

---

Record 4
First-principles (PBE-GGA) data for a geometry-optimized GaNi2Au structure, as listed in Alexandria.

a b c (Å): 2.8636 6.0180 6.2243
angles (deg): 90.00 90.00 90.00
Fractional positions:
Au1 0.0000 0.2500 0.4796
Ga1 0.0000 0.7500 0.9719
Ni1 0.5000 0.5293 0.2174
Ga2 0.0000 0.2500 0.0281
Au2 0.0000 0.7500 0.5204
Ni2 0.5000 0.4707 0.7826
Ni3 0.5000 0.0293 0.7826
Ni4 0.5000 0.9707 0.2174

Calculated values
Its magnetic moment is 0.00 μB per formula unit. Its space group is No. 51. The value obtained for the formation energy is -199.1 meV per atom.

---

Record 5
First-principles (PBE-GGA) data for a geometry-optimized BeFeP2 structure, as listed in Alexandria.

a b c (Å): 3.8364 3.8364 4.2707
angles (deg): 84.17 84.17 45.62
Site moments in Bohr magnetons follow the coordinates.
Fractional positions:
P1 0.4804 0.4804 0.5103  -0.01
Fe1 0.7500 0.7500 0.7500  0.44
Be1 0.2500 0.2500 0.2500  -0.01
P2 0.0196 0.0196 0.9897  -0.01

Calculated values
Its magnetic moment is 0.36 μB per formula unit. Its space group is No. 12. Its polymorph energy (0 for the lowest one) is 155.1 meV/atom. The value obtained for the formation energy is -29.3 meV per atom.

---

Record 6
First-principles (PBE-GGA) data for a geometry-optimized Sn3WC structure, as listed in Alexandria.

a b c (Å): 4.6150 4.6150 4.6150
angles (deg): 90.00 90.00 90.00
Site moments in Bohr magnetons follow the coordinates.
Fractional positions:
W1 0.5000 0.5000 0.5000  1.06
Sn1 0.0000 0.0000 0.5000  -0.01
C1 0.0000 0.0000 0.0000  -0.01
Sn2 0.0000 0.5000 0.0000  -0.02
Sn3 0.5000 0.0000 0.0000  -0.04

Calculated values
Its magnetic moment is 1.24 μB per formula unit. Its space group is No. 221. Its polymorph energy (0 for the lowest one) is 0.0 meV/atom. The value obtained for the formation energy is 1467.7 meV per atom.

---

Record 7
First-principles (PBE-GGA) data for a geometry-optimized MgMo3N structure, as listed in Alexandria.

a b c (Å): 4.1629 4.1629 4.1629
angles (deg): 90.00 90.00 90.00
Fractional positions:
Mo1 0.0000 0.0000 0.5000
Mo2 0.5000 0.0000 0.0000
N1 0.0000 0.0000 0.0000
Mg1 0.5000 0.5000 0.5000
Mo3 0.0000 0.5000 0.0000

Calculated values
Its magnetic moment is 0.00 μB per formula unit. Its space group is No. 221. Its polymorph energy (0 for the lowest one) is 0.0 meV/atom.

---

Which formula does entry 5 have? BeFeP2

---

Look up the magnetic moment of the fourth one. 0.00 μB per formula unit

---

Which of these has the highest magnetic moment? U3SeS2

---

Which formula does entry 2 have? HgIr3